The following is a GGA-PBE calculation of a relaxed Dy2HfAg crystal, from the Alexandria database.

a = 3.2105 Å, b = 3.2105 Å, c = 34.4101 Å
α = 90.00°, β = 90.00°, γ = 120.00°
Last column: nearest neighbours and their distance in Å.
Space group R-3m (No. 166, hexagonal axes)
Inequivalent atoms, fractional coordinates:
1 Dy 0.0000 0.0000 0.0923  3 Ag 3.16, 1 Hf 3.18, 6 Dy 3.21
2 Hf 0.0000 0.0000 0.0000  2 Dy 3.18, 6 Hf 3.21
3 Ag 0.0000 0.0000 0.5000  6 Dy 3.16, 6 Ag 3.21

* energy above the most stable polymorph in this dataset: 419 meV/atom
* energy: -0.19008 Ha/atom
* total magnetic moment: 0.00 μB/cell
* ΔH_f (0 K): 0.330 eV per atom
* crystal system: trigonal
* calculated density: 9.9 g/cm3



The following is a GGA-PBE calculation of a relaxed CsLiPm2I8 crystal, from the Alexandria database.

a = 7.9934 Å, b = 7.9934 Å, c = 9.6622 Å
α = 90.00°, β = 90.00°, γ = 120.00°
Last column: nearest neighbours and their distance in Å.
Space group P-3 (No. 147)
Inequivalent atoms, fractional coordinates:
1 Cs 0.0000 0.0000 0.0000  12 I 4.26-4.70
2 Li 0.0000 0.0000 0.5000  6 I 3.02
3 Pm 0.3333 0.6667 0.4070  7 I 3.03-3.32
4 I 0.0670 0.3581 0.6533  1 Li 3.02, 2 Pm 3.16-3.32
5 I 0.3333 0.6667 0.0932  1 Pm 3.03

* raw formation energy: -1.36 eV per atom
* energy: -0.12558 Ha/atom
* total magnetic moment: 0.00 μB/cell
* crystal system: trigonal
* calculated density: 4.5 g/cm3



The following is a GGA-PBE calculation of a relaxed YTi2Ir2 crystal, from the Alexandria database.

a = 4.2821 Å, b = 4.2821 Å, c = 10.7309 Å
α = 90.00°, β = 90.00°, γ = 90.00°
Last column: nearest neighbours and their distance in Å.
Space group I4/mmm (No. 139)
Inequivalent atoms, fractional coordinates:
1 Y 0.0000 0.0000 0.0000  8 Ti 3.32, 8 Ir 3.43
2 Ti 0.0000 0.0000 0.3724  4 Ir 2.51, 1 Ti 2.74
3 Ir 0.0000 0.5000 0.2500  4 Ti 2.51

* energy above the most stable polymorph in this dataset: 400 meV/atom
* energy: -0.30923 Ha/atom
* total magnetic moment: 4.60 μB/cell
* ΔH_f (0 K): -0.419 eV per atom
* crystal system: tetragonal
* calculated density: 9.6 g/cm3



The following is a GGA-PBE calculation of a relaxed CaTmAgHg crystal, from the Alexandria database.

a = 7.3413 Å, b = 7.3413 Å, c = 7.3413 Å
α = 90.00°, β = 90.00°, γ = 90.00°
Last column: nearest neighbours and their distance in Å.
Space group F-43m (No. 216)
Inequivalent atoms, fractional coordinates:
1 Ca 0.0000 0.0000 0.0000  4 Ag 3.18, 4 Hg 3.18
2 Tm 0.0000 0.0000 0.5000  4 Hg 3.18, 4 Ag 3.18
3 Ag 0.2500 0.2500 0.7500  4 Ca 3.18, 4 Tm 3.18
4 Hg 0.2500 0.2500 0.2500  4 Ca 3.18, 4 Tm 3.18

* energy above the most stable polymorph in this dataset: 18 meV/atom
* energy: -0.10294 Ha/atom
* total magnetic moment: 0.00 μB/cell
* ΔH_f (0 K): -0.395 eV per atom
* crystal system: cubic
* calculated density: 8.7 g/cm3



The following is a GGA-PBE calculation of a relaxed Nd4RhAu crystal, from the Alexandria database.

a = 13.8859 Å, b = 13.8859 Å, c = 13.8859 Å
α = 90.00°, β = 90.00°, γ = 90.00°
Last column: nearest neighbours and their distance in Å.
Space group F-43m (No. 216)
Inequivalent atoms, fractional coordinates:
1 Nd 0.0000 0.0000 0.1874  2 Au 3.17, 2 Nd 3.54, 2 Rh 3.54
2 Nd 0.0591 0.2500 0.2500  2 Rh 2.88
3 Nd 0.1045 0.1045 0.6045  3 Rh 2.94
4 Rh 0.1072 0.1072 0.3928  6 Nd 2.88-2.94
5 Au 0.1605 0.1605 0.8395  9 Nd 3.17-3.52, 3 Au 3.52

* energy above the most stable polymorph in this dataset: 0 meV/atom
* energy: -0.20143 Ha/atom
* total magnetic moment: 0.00 μB/cell
* ΔH_f (0 K): -0.531 eV per atom
* crystal system: cubic
* calculated density: 8.7 g/cm3



The following is a GGA-PBE calculation of a relaxed NaYBiPb crystal, from the Alexandria database.

a = 7.7616 Å, b = 7.7616 Å, c = 7.7616 Å
α = 90.00°, β = 90.00°, γ = 90.00°
Last column: nearest neighbours and their distance in Å.
Space group F-43m (No. 216)
Inequivalent atoms, fractional coordinates:
1 Na 0.0000 0.0000 0.0000  4 Pb 3.36, 4 Bi 3.36
2 Y 0.0000 0.0000 0.5000  4 Pb 3.36, 4 Bi 3.36
3 Bi 0.2500 0.2500 0.2500  4 Na 3.36, 4 Y 3.36
4 Pb 0.2500 0.2500 0.7500  4 Na 3.36, 4 Y 3.36

* energy: -0.15290 Ha/atom
* total magnetic moment: 0.00 μB/cell
* ΔH_f (0 K): -0.318 eV per atom
* crystal system: cubic
* calculated density: 7.5 g/cm3